# 1
A relaxed CoP2 crystal, computed with PBE.

Geometry as POSCAR:
```
CoP2
1.0
5.532 0.000 0.000
0.000 5.525 0.000
-2.343 0.000 5.086
Co P
4 8
direct
0.228 0.001 0.213 Co
0.228 0.499 0.713 Co
0.772 0.501 0.287 Co
0.772 0.999 0.787 Co
0.161 0.130 0.819 P
0.161 0.370 0.319 P
0.342 0.628 0.133 P
0.342 0.872 0.633 P
0.658 0.128 0.367 P
0.658 0.372 0.867 P
0.839 0.630 0.681 P
0.839 0.870 0.181 P
```

Calculated values
Crystal system   monoclinic
Energy   -78.055 eV for the cell shown

# 2
A relaxed Hf8Zn2C3N3 crystal, computed with PBE.

Geometry as POSCAR:
```
Hf8Zn2C3N3
1.0
3.253 0.000 0.000
-1.627 2.818 0.000
0.000 0.000 24.508
Hf Zn C N
8 2 3 3
direct
0.000 0.000 0.156 Hf
0.000 0.000 0.340 Hf
0.000 0.000 0.660 Hf
0.000 0.000 0.844 Hf
0.333 0.667 0.553 Hf
0.333 0.667 0.946 Hf
0.667 0.333 0.054 Hf
0.667 0.333 0.447 Hf
0.333 0.667 0.753 Zn
0.667 0.333 0.247 Zn
0.000 0.000 0.500 C
0.333 0.667 0.388 C
0.667 0.333 0.612 C
0.000 0.000 0.000 N
0.333 0.667 0.106 N
0.667 0.333 0.894 N
```

Calculated values
Crystal system   trigonal
Energy   -151.827 eV for the cell shown

# 3
A relaxed HfFeAsIr crystal, computed with PBE.

Geometry as POSCAR:
```
HfFeAsIr
1.0
0.000 3.140 3.140
3.140 0.000 3.140
3.140 3.140 0.000
Hf Fe As Ir
1 1 1 1
direct
0.000 0.000 0.000 Hf
0.750 0.750 0.750 Fe
0.500 0.500 0.500 As
0.250 0.250 0.250 Ir
```

Calculated values
Energy relative to the lowest polymorph listed for this composition   0.000 eV/atom
Crystal system   cubic

# 4
A relaxed TmNiB crystal, computed with PBE.

Geometry as POSCAR:
```
TmNiB
1.0
0.000 2.985 2.985
2.985 0.000 2.985
2.985 2.985 0.000
Tm Ni B
1 1 1
direct
0.000 0.000 0.000 Tm
0.250 0.250 0.250 Ni
0.750 0.750 0.750 B
```

Calculated values
Energy relative to the lowest polymorph listed for this composition   0.821 eV/atom
Crystal system   cubic

Computed values of total moment (unit: μB per formula unit) for the preceding records, in sequence: 0.00, 0.00, 1.86, 0.00.